Below is a relaxed TbFeCo2 crystal, with properties calculated at the GGA-PBE level.

Summary:
space group	P4/mmm, No. 123
ΔE_f	7	kJ/mol of atoms

Lattice parameters (Å, degrees): 3.083 3.083 6.349 90.00 90.00 90.00
Site moments in Bohr magnetons follow the coordinates.
Fractional positions:
Tb1 0.500 0.500 0.500  -0.22
Co1 0.000 0.000 0.201  1.37
Co2 0.000 0.000 0.799  1.37
Fe1 0.500 0.500 0.000  2.92

***

Below is a relaxed ZnRe4Te crystal, with properties calculated at the GGA-PBE level.

Summary:
space group	F-43m, No. 216
energy relative to the elements, uncorrected	73.1	kJ/mol of atoms

Lattice parameters (Å, degrees): 5.293 5.293 5.293 60.00 60.00 60.00
Fractional positions:
Re1 0.625 0.125 0.625
Re2 0.625 0.625 0.125
Re3 0.125 0.625 0.625
Re4 0.625 0.625 0.625
Zn1 0.000 0.000 0.000
Te1 0.250 0.250 0.250

***

Below is a relaxed SrPr2N crystal, with properties calculated at the GGA-PBE level.

Summary:
space group	R-3m, No. 166
energy relative to the elements, uncorrected	-49.1	kJ/mol of atoms

Lattice parameters (Å, degrees): 3.725 3.725 10.444 79.73 79.73 60.00
Fractional positions:
Sr1 0.000 0.000 0.000
N1 0.500 0.500 0.500
Pr1 0.878 0.878 0.366
Pr2 0.122 0.122 0.634

***

One value per record, in order, for DFT total energy: -6.757, -8.277, -5.400 eV per atom.